Compound: InReAs2
Source: Alexandria
Functional: PBE
Structure: optimized geometry

formation energy = 0.352 eV/atom
calculated volume = 20.1 A^3/atom

```
data_InReAs2
_chemical_formula_sum 'In2 Re2 As4'
_space_group_name_H-M_alt 'C m m m'
_space_group_IT_number 65
_space_group_name_Hall '-C 2 2'
_cell_length_a 3.1024
_cell_length_b 5.1611
_cell_length_c 10.0192
_cell_angle_alpha 90.00
_cell_angle_beta 90.00
_cell_angle_gamma 90.00
loop_
_atom_site_label
_atom_site_type_symbol
_atom_site_fract_x
_atom_site_fract_y
_atom_site_fract_z
In1 In 0.0000 0.0000 0.0000
Re1 Re 0.0000 0.0000 0.5000
As1 As 0.0000 0.5000 0.2988
```